Computed, not measured: a relaxed structure of Sr2Br at the PBE level of DFT.

The structure in POSCAR format:
```
Sr2Br
1.0
-2.258 -2.280 2.772
-0.030 -1.029 -4.114
6.288 -4.817 1.159
Sr Br
2 1
Cartesian
2.945 -5.280 1.299
1.055 -2.846 -1.482
0.000 0.000 0.000
```

Properties
Uncorrected energy: -2.640 eV per atom
DOS(E_F): 2.6 states/eV per cell
Formation energy without anion corrections: -0.961 eV/atom
Polymorph energy (0 for the lowest one): 0.00 eV/f.u.